A relaxed K2CrSiF crystal, computed with PBE+U.

Lattice parameters (Å, degrees): 6.380 6.380 4.838 90.00 90.00 90.00
Positions (direct):
K 0.000 0.500 0.000
K 0.500 0.000 0.000
Cr 0.000 0.000 0.500
Si 0.000 0.000 0.000
F 0.500 0.500 0.500

Summary:
The space-group type is P4/mmm (123). The final energy is -3.626 eV per atom.